Record 1
First-principles (PBE) data for a relaxed NiBiS2N crystal, as listed in Alexandria.

Lattice parameters (Å, degrees): 4.823 4.823 3.547 90.00 90.00 90.00
Space group P4/mmm (No. 123)
Asymmetric unit:
Ni 0.000 0.000 0.000 [1 per cell]
Bi 0.500 0.500 0.500 [1 per cell]
S 0.000 0.500 0.000 [2 per cell]
N 0.000 0.000 0.500 [1 per cell]

Computed properties:
The total moment comes out at 0.64 Bohr magnetons per cell. As for the raw formation energy: 0.37 eV/atom. The calculation puts the theoretical density at 7.0 Mg/m³. The value obtained for the offset from the most stable computed form is 0 meV/atom.

Record 2
First-principles (PBE) data for a relaxed Rb2CdRu crystal, as listed in Alexandria.

Lattice parameters (Å, degrees): 12.608 12.608 5.296 90.00 90.00 90.00
Space group I-42d (No. 122)
Asymmetric unit:
Rb 0.061 0.250 0.125 [8 per cell]
Cd 0.000 0.000 0.500 [4 per cell]
Ru 0.000 0.000 0.000 [4 per cell]

Computed properties:
The total moment comes out at 6.33 Bohr magnetons per cell. The formation energy is 0.839 eV per atom. The calculation puts the theoretical density at 3.0 Mg/m³.

Record 3
First-principles (PBE) data for a relaxed AcRh4Au crystal, as listed in Alexandria.

Lattice parameters (Å, degrees): 7.642 7.642 7.642 90.00 90.00 90.00
Space group F-43m (No. 216)
Asymmetric unit:
Ac 0.000 0.000 0.000 [4 per cell]
Rh 0.124 0.124 0.376 [16 per cell]
Au 0.250 0.250 0.750 [4 per cell]

Computed properties:
The total moment comes out at 0.10 Bohr magnetons per cell. The formation energy is -0.174 eV per atom. The calculation puts the theoretical density at 12.4 Mg/m³.

Record 4
First-principles (PBE) data for a relaxed HoFe3 crystal, as listed in Alexandria.

Lattice parameters (Å, degrees): 5.0750 5.0750 16.1127 90.00 90.00 120.00
Space group P6_3/mmc (No. 194)
Asymmetric unit:
Ho 0.3333 0.6667 0.0372 [4 per cell]
Ho 0.3333 0.6667 0.2500 [2 per cell]
Fe 0.0000 0.0000 0.0000 [2 per cell]
Fe 0.0000 0.0000 0.2500 [2 per cell]
Fe 0.1670 0.3339 0.6277 [12 per cell]
Fe 0.3333 0.6667 0.7500 [2 per cell]

Computed properties:
The total moment comes out at 33.57 Bohr magnetons per cell. The formation energy is -0.086 eV per atom. The calculation puts the theoretical density at 9.2 Mg/m³.

Record 5
First-principles (PBE) data for a relaxed ScBeAs crystal, as listed in Alexandria.

Lattice parameters (Å, degrees): 5.737 5.737 5.737 90.00 90.00 90.00
Space group F-43m (No. 216)
Asymmetric unit:
Sc 0.000 0.000 0.000 [4 per cell]
Be 0.250 0.250 0.750 [4 per cell]
As 0.000 0.000 0.500 [4 per cell]

Computed properties:
The total moment comes out at 0.00 Bohr magnetons per cell. The formation energy is -0.216 eV per atom. The calculation puts the theoretical density at 4.5 Mg/m³. The value obtained for the offset from the most stable computed form is 534 meV/atom.

Record 6
First-principles (PBE) data for a relaxed Ba7BiN2 crystal, as listed in Alexandria.

Lattice parameters (Å, degrees): 12.080 19.133 4.411 90.00 90.00 90.00
Space group Cmmm (No. 65)
Asymmetric unit:
Ba 0.000 0.000 0.000 [2 per cell]
Ba 0.000 0.227 0.500 [4 per cell]
Ba 0.157 0.385 0.000 [8 per cell]
Bi 0.000 0.500 0.500 [2 per cell]
N 0.000 0.301 0.000 [4 per cell]

Computed properties:
The total moment comes out at 3.07 Bohr magnetons per cell. As for the raw formation energy: -0.36 eV/atom. The calculation puts the theoretical density at 3.9 Mg/m³.

Record 7
First-principles (PBE) data for a relaxed Gd2NiAg crystal, as listed in Alexandria.

Lattice parameters (Å, degrees): 3.8002 3.8002 27.5716 90.00 90.00 120.00
Space group R-3m (No. 166, hexagonal axes)
Asymmetric unit:
Gd 0.0000 0.0000 0.1097 [6 per cell]
Ni 0.0000 0.0000 0.5000 [3 per cell]
Ag 0.0000 0.0000 0.0000 [3 per cell]

Computed properties:
The total moment comes out at 43.93 Bohr magnetons per cell. The formation energy is 0.122 eV per atom. The calculation puts the theoretical density at 6.9 Mg/m³.

Record 8
First-principles (PBE) data for a relaxed LiCePrAg crystal, as listed in Alexandria.

Lattice parameters (Å, degrees): 7.522 7.522 7.522 90.00 90.00 90.00
Space group F-43m (No. 216)
Asymmetric unit:
Li 0.000 0.000 0.000 [4 per cell]
Ce 0.250 0.250 0.750 [4 per cell]
Pr 0.250 0.250 0.250 [4 per cell]
Ag 0.000 0.000 0.500 [4 per cell]

Computed properties:
The total moment comes out at 6.80 Bohr magnetons per cell. The formation energy is 0.056 eV per atom. The calculation puts the theoretical density at 6.2 Mg/m³.

Record 9
First-principles (PBE) data for a relaxed Ce3InHg2 crystal, as listed in Alexandria.

Lattice parameters (Å, degrees): 3.374 3.374 14.017 90.00 90.00 90.00
Space group P4/mmm (No. 123)
Asymmetric unit:
Ce 0.000 0.000 0.000 [1 per cell]
Ce 0.000 0.000 0.330 [2 per cell]
In 0.500 0.500 0.500 [1 per cell]
Hg 0.500 0.500 0.165 [2 per cell]

Computed properties:
The total moment comes out at 2.72 Bohr magnetons per cell. The formation energy is -0.322 eV per atom. The calculation puts the theoretical density at 9.7 Mg/m³.

Record 10
First-principles (PBE) data for a relaxed Mn2CuTc crystal, as listed in Alexandria.

Lattice parameters (Å, degrees): 2.952 2.967 6.025 90.00 90.00 90.00
Space group Pmmm (No. 47)
Asymmetric unit:
Mn 0.000 0.000 0.244 [2 per cell]
Cu 0.500 0.500 0.000 [1 per cell]
Tc 0.500 0.500 0.500 [1 per cell]

Computed properties:
The total moment comes out at 5.44 Bohr magnetons per cell. The formation energy is 0.162 eV per atom. The calculation puts the theoretical density at 8.5 Mg/m³.

Record 11
First-principles (PBE) data for a relaxed LaFeI crystal, as listed in Alexandria.

Lattice parameters (Å, degrees): 4.266 20.612 4.019 90.00 90.00 90.00
Space group Cmcm (No. 63)
Asymmetric unit:
La 0.000 0.079 0.250 [4 per cell]
Fe 0.000 0.479 0.250 [4 per cell]
I 0.000 0.335 0.250 [4 per cell]

Computed properties:
The total moment comes out at 0.00 Bohr magnetons per cell. As for the raw formation energy: -0.57 eV/atom. The calculation puts the theoretical density at 6.0 Mg/m³.

Record 12
First-principles (PBE) data for a relaxed Ga4Ir5Ru crystal, as listed in Alexandria.

Lattice parameters (Å, degrees): 2.876 2.876 17.329 90.00 90.00 90.00
Space group P4/mmm (No. 123)
Asymmetric unit:
Ga 0.000 0.000 0.098 [2 per cell]
Ga 0.000 0.000 0.293 [2 per cell]
Ir 0.500 0.500 0.000 [1 per cell]
Ir 0.500 0.500 0.195 [2 per cell]
Ir 0.500 0.500 0.395 [2 per cell]
Ru 0.000 0.000 0.500 [1 per cell]

Computed properties:
The total moment comes out at 0.00 Bohr magnetons per cell. The formation energy is -0.262 eV per atom. The calculation puts the theoretical density at 15.5 Mg/m³.

Record 13
First-principles (PBE) data for a relaxed AgPC3 crystal, as listed in Alexandria.

Lattice parameters (Å, degrees): 4.145 4.145 4.145 90.00 90.00 90.00
Space group Pm-3m (No. 221)
Asymmetric unit:
Ag 0.000 0.000 0.000 [1 per cell]
P 0.500 0.500 0.500 [1 per cell]
C 0.000 0.000 0.500 [3 per cell]

Computed properties:
The total moment comes out at 1.09 Bohr magnetons per cell. The formation energy is 3.498 eV per atom. The calculation puts the theoretical density at 4.1 Mg/m³. The value obtained for the offset from the most stable computed form is 1397 meV/atom.

Record 14
First-principles (PBE) data for a relaxed Sr2Fe crystal, as listed in Alexandria.

Lattice parameters (Å, degrees): 7.467 7.610 4.033 90.00 90.00 90.00
Space group Pnnm (No. 58)
Asymmetric unit:
Sr 0.237 0.173 0.000 [4 per cell]
Fe 0.000 0.500 0.000 [2 per cell]

Computed properties:
The total moment comes out at 4.57 Bohr magnetons per cell. The formation energy is 0.620 eV per atom. The calculation puts the theoretical density at 3.3 Mg/m³.

Record 15
First-principles (PBE) data for a relaxed KCo3Cu crystal, as listed in Alexandria.

Lattice parameters (Å, degrees): 4.417 4.417 4.417 90.00 90.00 90.00
Space group Pm-3m (No. 221)
Asymmetric unit:
K 0.000 0.000 0.000 [1 per cell]
Co 0.000 0.000 0.500 [3 per cell]
Cu 0.500 0.500 0.500 [1 per cell]

Computed properties:
The total moment comes out at 4.64 Bohr magnetons per cell. The formation energy is 2.517 eV per atom. The calculation puts the theoretical density at 5.4 Mg/m³. The value obtained for the offset from the most stable computed form is 1236 meV/atom.

Record 16
First-principles (PBE) data for a relaxed Ta2BeTlMo crystal, as listed in Alexandria.

Lattice parameters (Å, degrees): 5.053 5.053 4.988 90.00 90.00 90.00
Space group P4/mmm (No. 123)
Asymmetric unit:
Ta 0.000 0.500 0.000 [2 per cell]
Be 0.000 0.000 0.500 [1 per cell]
Tl 0.500 0.500 0.000 [1 per cell]
Mo 0.500 0.500 0.500 [1 per cell]

Computed properties:
The total moment comes out at 0.78 Bohr magnetons per cell. The formation energy is 2.783 eV per atom. The calculation puts the theoretical density at 8.8 Mg/m³.

Record 17
First-principles (PBE) data for a relaxed Ti2Pt5Rh crystal, as listed in Alexandria.

Lattice parameters (Å, degrees): 5.566 11.139 3.913 90.00 90.00 90.00
Space group Pbam (No. 55)
Asymmetric unit:
Ti 0.241 0.122 0.000 [4 per cell]
Pt 0.000 0.500 0.500 [2 per cell]
Pt 0.003 0.750 0.500 [4 per cell]
Pt 0.250 0.376 0.000 [4 per cell]
Rh 0.000 0.000 0.500 [2 per cell]

Computed properties:
The total moment comes out at 0.00 Bohr magnetons per cell. The formation energy is -0.866 eV per atom. The calculation puts the theoretical density at 16.1 Mg/m³.

Record 18
First-principles (PBE) data for a relaxed Sr3TcPt crystal, as listed in Alexandria.

Lattice parameters (Å, degrees): 5.793 5.793 5.793 90.00 90.00 90.00
Space group Pm-3m (No. 221)
Asymmetric unit:
Sr 0.000 0.000 0.500 [3 per cell]
Tc 0.500 0.500 0.500 [1 per cell]
Pt 0.000 0.000 0.000 [1 per cell]

Computed properties:
The total moment comes out at 3.64 Bohr magnetons per cell. The formation energy is 0.415 eV per atom. The calculation puts the theoretical density at 4.7 Mg/m³. The value obtained for the offset from the most stable computed form is 0 meV/atom.

Record 19
First-principles (PBE) data for a relaxed Re2SiAg crystal, as listed in Alexandria.

Lattice parameters (Å, degrees): 3.987 3.987 7.467 90.00 90.00 90.00
Space group I-4m2 (No. 119)
Asymmetric unit:
Re 0.000 0.000 0.000 [2 per cell]
Re 0.000 0.500 0.250 [2 per cell]
Si 0.000 0.500 0.750 [2 per cell]
Ag 0.000 0.000 0.500 [2 per cell]

Computed properties:
The total moment comes out at 0.00 Bohr magnetons per cell. As for the raw formation energy: 0.46 eV/atom. The calculation puts the theoretical density at 14.2 Mg/m³.

Record 20
First-principles (PBE) data for a relaxed Ca8AsP5 crystal, as listed in Alexandria.

Lattice parameters (Å, degrees): 8.784 8.784 8.746 90.00 90.00 90.00
Space group I-4 (No. 82)
Asymmetric unit:
Ca 0.069 0.183 0.191 [8 per cell]
Ca 0.071 0.324 0.557 [8 per cell]
As 0.000 0.000 0.500 [2 per cell]
P 0.000 0.500 0.250 [2 per cell]
P 0.126 0.251 0.874 [8 per cell]

Computed properties:
The total moment comes out at 0.00 Bohr magnetons per cell. The formation energy is -1.084 eV per atom. The calculation puts the theoretical density at 2.7 Mg/m³.